Here is a relaxed structure of BC4 from Alexandria via LeMat-Bulk. Energies are from PBE.

```
BC4
1.0
4.292 -1.258 0.000
4.292 1.258 0.000
-2.953 0.000 5.641
B C
2 8
Direct
0.106 0.106 0.286
0.894 0.894 0.714
0.103 0.103 0.539
0.300 0.300 0.071
0.308 0.308 0.322
0.491 0.491 0.110
0.509 0.509 0.890
0.692 0.692 0.678
0.700 0.700 0.929
0.897 0.897 0.461
```

Calculated values
* Fermi-level density of states: 0.89 states/eV/f.u.
* energy relative to the lowest polymorph listed for this composition: 0.0351 eV per atom

=====

Here is a relaxed structure of Cd6Hg12Pb from Alexandria via LeMat-Bulk. Energies are from PBE.

```
Cd6Hg12Pb
1.0
7.043 4.066 2.986
-7.043 4.066 2.986
0.000 -8.133 2.986
Cd Hg Pb
6 12 1
Direct
0.313 0.313 0.674
0.313 0.674 0.313
0.326 0.687 0.687
0.674 0.313 0.313
0.687 0.326 0.687
0.687 0.687 0.326
0.062 0.331 0.331
0.114 0.500 0.886
0.114 0.886 0.500
0.331 0.062 0.331
0.331 0.331 0.062
0.500 0.114 0.886
0.500 0.886 0.114
0.669 0.669 0.938
0.669 0.938 0.669
0.886 0.114 0.500
0.886 0.500 0.114
0.938 0.669 0.669
0.000 0.000 0.000
```

Calculated values
* Fermi-level density of states: 6.48 states/eV/f.u.
* energy relative to the lowest polymorph listed for this composition: 0.0125 eV per atom

=====

Here is a relaxed structure of BaAgPt2 from Alexandria via LeMat-Bulk. Energies are from PBE.

```
BaAgPt2
1.0
-2.479 2.479 9.379
2.479 -2.479 9.379
2.479 2.479 -9.379
Ba Ag Pt
2 2 4
Direct
0.000 0.000 0.000
0.750 0.250 0.500
0.250 0.750 0.500
0.500 0.500 0.000
0.318 0.625 0.193
0.375 0.568 0.693
0.432 0.125 0.807
0.875 0.682 0.307
```

Calculated values
* Fermi-level density of states: 2.10 states/eV/f.u.
* energy relative to the lowest polymorph listed for this composition: 0.1637 eV per atom